1:
Here is Er2SbN after structural relaxation from Alexandria via LeMat-Bulk. Energies are from PBE.

## Properties
volume = 241.4 Å³/cell

a = 3.5467 Å, b = 3.5467 Å, c = 22.1553 Å
α = 90.00°, β = 90.00°, γ = 120.00°
Space group R-3m (No. 166, hexagonal axes)
Unique sites:
Er  0.0000  0.0000  0.2242
Sb  0.0000  0.0000  0.0000
N  0.0000  0.0000  0.5000


2:
Here is Er2SbN after structural relaxation from Alexandria via LeMat-Bulk. Energies are from PBE.

## Properties
volume = 364.3 Å³/cell

a = 7.064 Å, b = 4.042 Å, c = 12.760 Å
α = 90.00°, β = 90.00°, γ = 90.00°
Space group Pnma (No. 62)
Unique sites:
Er  0.113  0.250  0.232
Er  0.176  0.250  0.963
Sb  0.101  0.250  0.634
N  0.054  0.750  0.909


3:
Here is Er2SbN after structural relaxation from Alexandria via LeMat-Bulk. Energies are from PBE.

## Properties
volume = 177.5 Å³/cell

a = 4.476 Å, b = 4.476 Å, c = 8.862 Å
α = 90.00°, β = 90.00°, γ = 90.00°
Space group P4/nmm (No. 129, origin choice 2)
Unique sites:
Er  0.250  0.250  0.176
Er  0.250  0.750  0.500
Sb  0.250  0.250  0.812
N  0.250  0.250  0.423


Which structure is the least stable? The one labeled 1.


1:
Here is Er3ScN4 after structural relaxation from Alexandria via LeMat-Bulk. Energies are from PBE.

## Properties
volume = 109.0 Å³/cell

a = 4.777 Å, b = 4.777 Å, c = 4.777 Å
α = 90.00°, β = 90.00°, γ = 90.00°
Space group Pm-3m (No. 221)
Unique sites:
Er  0.000  0.000  0.500
Sc  0.500  0.500  0.500
N  0.000  0.000  0.000
N  0.000  0.500  0.500


2:
Here is Er3ScN4 after structural relaxation from Alexandria via LeMat-Bulk. Energies are from PBE.

## Properties
volume = 217.3 Å³/cell

a = 5.842 Å, b = 6.753 Å, c = 5.843 Å
α = 90.00°, β = 109.47°, γ = 90.00°
Space group P2/c (No. 13)
Unique sites:
Er  0.000  0.123  0.250
Er  0.000  0.373  0.750
Er  0.500  0.373  0.250
Sc  0.500  0.122  0.750
N  0.252  0.371  0.504
N  0.259  0.120  0.999


Which structure is the least stable? The one labeled 1.


1:
Here is Er4Se3N2 after structural relaxation from Alexandria via LeMat-Bulk. Energies are from PBE.

## Properties
volume = 405.2 Å³/cell

a = 13.218 Å, b = 3.890 Å, c = 10.185 Å
α = 90.00°, β = 129.30°, γ = 90.00°
Space group C2/m (No. 12)
Unique sites:
Er  0.057  0.000  0.347
Er  0.241  0.500  0.859
Se  0.000  0.500  0.500
Se  0.169  0.500  0.274
N  0.147  0.000  0.863


2:
Here is Er4Se3N2 after structural relaxation from Alexandria via LeMat-Bulk. Energies are from PBE.

## Properties
volume = 369.7 Å³/cell

a = 12.950 Å, b = 3.514 Å, c = 8.300 Å
α = 90.00°, β = 101.87°, γ = 90.00°
Space group C2/m (No. 12)
Unique sites:
Er  0.088  0.000  0.190
Er  0.174  0.500  0.604
Se  0.000  0.000  0.500
Se  0.101  0.500  0.909
N  0.201  0.500  0.337


Which structure is the least stable? The one labeled 2.


1:
Here is Er3Se2N after structural relaxation from Alexandria via LeMat-Bulk. Energies are from PBE.

## Properties
volume = 587.6 Å³/cell

a = 13.496 Å, b = 7.919 Å, c = 5.498 Å
α = 90.00°, β = 90.00°, γ = 90.00°
Space group Cmcm (No. 63)
Unique sites:
Er  0.000  0.121  0.250
Er  0.146  0.277  0.750
Se  0.156  0.356  0.250
N  0.000  0.157  0.750


2:
Here is Er3Se2N after structural relaxation from Alexandria via LeMat-Bulk. Energies are from PBE.

## Properties
volume = 247.4 Å³/cell

a = 3.845 Å, b = 3.845 Å, c = 16.735 Å
α = 90.00°, β = 90.00°, γ = 90.00°
Space group I4/mmm (No. 139)
Unique sites:
Er  0.000  0.000  0.000
Er  0.000  0.000  0.365
Se  0.000  0.000  0.171
N  0.000  0.000  0.500


Which structure is the least stable? The one labeled 1.